Ce2PaTl: relaxed, PBE.

total magnetic moment: 2.29 μB/f.u.
energy above the most stable polymorph in this dataset: 88 meV per atom

a b c (Å): 4.6561 4.8013 4.8013
angles (deg): 90.00 90.00 90.00
Each line ends with the local moment (μB).
Fractional coordinates of all 4 atoms:
Tl  0.5000  0.0000  0.0000  0.00
Pa  0.5000  0.5000  0.5000  0.70
Ce  0.0000  0.0000  0.5000  0.60
Ce  0.0000  0.5000  0.0000  0.60